1.
VASP calculation (PBE) on a relaxed LiPr2Sb crystal. Values from VASP.

Geometry as Quantum ESPRESSO input:
```
&SYSTEM
  ibrav = 0, nat = 4, ntyp = 3
/
ATOMIC_SPECIES
Pr 140.91 Pr.upf
Sb 121.76 Sb.upf
Li 6.94 Li.upf
ATOMIC_POSITIONS angstrom
Pr 0.670 -0.385 2.435
Pr 1.350 -2.054 -0.696
Sb 0.271 -3.684 2.024
Li -1.749 -1.245 0.284
CELL_PARAMETERS angstrom
-3.498 -2.491 0.569
2.699 -4.109 -1.392
1.340 -0.769 4.870
```

Properties
* polymorph energy (0 for the lowest one): 0.008 eV per atom
* volume: 28.3 Å³ per atom
* spin magnetization: 0.00 μB/f.u.
* space group: P4/mmm (123)


2.
VASP calculation (PBE) on a relaxed AlTlHg crystal. Values from VASP.

Geometry as Quantum ESPRESSO input:
```
&SYSTEM
  ibrav = 0, nat = 3, ntyp = 3
/
ATOMIC_SPECIES
Tl 204.38 Tl.upf
Hg 200.59 Hg.upf
Al 26.98 Al.upf
ATOMIC_POSITIONS angstrom
Tl -9.229 -2.076 -2.256
Hg -5.835 0.012 -0.614
Al -12.835 -4.294 -4.001
CELL_PARAMETERS angstrom
-6.607 -1.012 -3.213
-6.324 -3.342 -0.835
-2.037 2.349 1.224
```

Properties
* formation energy: 0.19 eV per atom
* volume: 24.7 Å³ per atom
* spin magnetization: 0.00 μB/f.u.
* space group: Fmm2 (42)


3.
VASP calculation (PBE) on a relaxed DyYTe2 crystal. Values from VASP.

Geometry as Quantum ESPRESSO input:
```
&SYSTEM
  ibrav = 0, nat = 4, ntyp = 3
/
ATOMIC_SPECIES
Y 88.91 Y.upf
Te 127.60 Te.upf
Dy 162.50 Dy.upf
ATOMIC_POSITIONS angstrom
Y 1.893 1.893 0.000
Te 0.000 0.000 5.673
Te 0.000 0.000 1.901
Dy 1.893 1.893 3.787
CELL_PARAMETERS angstrom
3.786 0.000 0.000
0.000 3.786 0.000
0.000 0.000 7.574
```

Properties
* polymorph energy (0 for the lowest one): 0.144 eV per atom
* volume: 27.1 Å³ per atom
* spin magnetization: 1.12 μB/f.u.
* space group: P4/mmm (123)


4.
VASP calculation (PBE) on a relaxed RbHf2Te4 crystal. Values from VASP.

Geometry as Quantum ESPRESSO input:
```
&SYSTEM
  ibrav = 0, nat = 7, ntyp = 3
/
ATOMIC_SPECIES
Rb 85.47 Rb.upf
Hf 178.49 Hf.upf
Te 127.60 Te.upf
ATOMIC_POSITIONS angstrom
Rb 0.199 -3.467 2.025
Hf -1.924 1.966 3.647
Hf -1.668 -1.571 5.741
Te 0.234 -3.756 5.730
Te -3.826 4.151 3.657
Te -0.012 -0.237 3.736
Te -3.580 0.632 5.652
CELL_PARAMETERS angstrom
-3.067 -2.669 -0.179
3.464 -4.265 4.229
-3.990 7.329 5.338
```

Properties
* polymorph energy (0 for the lowest one): 0.000 eV per atom
* volume: 36.8 Å³ per atom
* spin magnetization: 0.00 μB/f.u.
* space group: C2/m (12)


5.
VASP calculation (PBE) on a relaxed NdErZrN3 crystal. Values from VASP.

Geometry as Quantum ESPRESSO input:
```
&SYSTEM
  ibrav = 0, nat = 12, ntyp = 4
/
ATOMIC_SPECIES
Nd 144.24 Nd.upf
Er 167.26 Er.upf
Zr 91.22 Zr.upf
N 14.01 N.upf
ATOMIC_POSITIONS angstrom
Nd -4.926 -5.136 0.102
Nd -2.092 -2.300 -0.374
Er -1.928 -5.097 1.678
Er -5.090 -2.339 -1.950
Zr -3.017 -0.206 -3.299
Zr -4.001 -7.230 3.028
N -3.553 -4.005 -1.826
N -2.400 -0.424 1.498
N -3.926 -0.539 -1.072
N -3.465 -3.431 1.554
N -3.092 -6.897 0.801
N -4.618 -7.012 -1.770
CELL_PARAMETERS angstrom
-2.827 1.032 1.633
-2.955 -0.162 -5.015
-1.235 -8.306 3.110
```

Properties
* volume: 14.6 Å³ per atom
* spin magnetization: 0.00 μB/f.u.
* DFT total energy: -51.553 eV per formula unit
* space group: P2_1/m (11)


6.
VASP calculation (PBE) on a relaxed AcPr2HoP4 crystal. Values from VASP.

Geometry as Quantum ESPRESSO input:
```
&SYSTEM
  ibrav = 0, nat = 8, ntyp = 4
/
ATOMIC_SPECIES
Ac 227.00 Ac.upf
Pr 140.91 Pr.upf
Ho 164.93 Ho.upf
P 30.97 P.upf
ATOMIC_POSITIONS angstrom
Ac 2.110 3.651 -0.075
Pr 0.000 2.564 6.841
Pr 2.110 1.282 3.420
Ho 0.000 4.932 3.345
P 0.000 7.392 4.931
P 4.221 2.473 1.760
P 2.110 6.114 1.682
P 2.110 3.750 5.009
CELL_PARAMETERS angstrom
4.221 0.000 0.000
0.000 7.301 -0.150
0.000 2.564 6.841
```

Properties
* formation energy: -1.48 eV per atom
* volume: 26.6 Å³ per atom
* spin magnetization: 0.00 μB/f.u.
* space group: P2/m (10)


7.
VASP calculation (PBE) on a relaxed Hf3Co8Re crystal. Values from VASP.

Geometry as Quantum ESPRESSO input:
```
&SYSTEM
  ibrav = 0, nat = 12, ntyp = 3
/
ATOMIC_SPECIES
Hf 178.49 Hf.upf
Co 58.93 Co.upf
Re 186.21 Re.upf
ATOMIC_POSITIONS angstrom
Hf 4.193 2.563 2.775
Hf 0.076 0.047 8.198
Hf 3.336 2.039 5.663
Co 2.752 0.268 7.633
Co 1.472 2.305 3.494
Co 3.807 2.327 8.319
Co 0.423 0.258 2.812
Co 5.467 3.342 6.933
Co 2.098 1.283 1.381
Co 1.494 2.327 7.633
Co 2.723 0.258 3.494
Re 0.880 0.538 5.488
CELL_PARAMETERS angstrom
4.610 0.000 1.367
2.102 4.103 1.367
0.031 0.019 8.352
```

Properties
* formation energy: -0.25 eV per atom
* volume: 13.1 Å³ per atom
* spin magnetization: 6.01 μB/f.u.
* space group: R3m (160)


8.
VASP calculation (PBE) on a relaxed BaLaY4 crystal. Values from VASP.

Geometry as Quantum ESPRESSO input:
```
&SYSTEM
  ibrav = 0, nat = 6, ntyp = 3
/
ATOMIC_SPECIES
Ba 137.33 Ba.upf
La 138.91 La.upf
Y 88.91 Y.upf
ATOMIC_POSITIONS angstrom
Ba 7.346 7.346 7.346
La 0.000 0.000 0.000
Y 3.637 6.158 6.158
Y 6.158 6.158 3.637
Y 6.158 3.637 6.158
Y 3.637 3.637 3.637
CELL_PARAMETERS angstrom
0.000 4.897 4.897
4.897 0.000 4.897
4.897 4.897 0.000
```

Properties
* formation energy: 0.33 eV per atom
* volume: 39.2 Å³ per atom
* spin magnetization: 0.27 μB/f.u.
* space group: F-43m (216)